1.
BeZn3Cr | GGA-PBE | optimized geometry Values from VASP.

Quantum ESPRESSO input file:
```
&SYSTEM
  ibrav = 0, nat = 5, ntyp = 3
/
ATOMIC_SPECIES
Be 9.01 Be.upf
Zn 65.41 Zn.upf
Cr 52.00 Cr.upf
ATOMIC_POSITIONS angstrom
Be 0.000 0.000 0.000
Zn 0.000 2.418 2.418
Zn 2.418 0.000 2.418
Zn 2.418 2.418 0.000
Cr 2.418 2.418 2.418
CELL_PARAMETERS angstrom
4.836 0.000 0.000
0.000 4.836 0.000
0.000 0.000 4.836
```

---

2.
BeZn3Cr | GGA-PBE | optimized geometry Values from VASP.

Quantum ESPRESSO input file:
```
&SYSTEM
  ibrav = 0, nat = 5, ntyp = 3
/
ATOMIC_SPECIES
Be 9.01 Be.upf
Zn 65.41 Zn.upf
Cr 52.00 Cr.upf
ATOMIC_POSITIONS angstrom
Be 0.000 0.000 0.000
Zn 0.000 0.000 2.129
Zn 0.000 2.129 0.000
Zn 2.129 0.000 0.000
Cr 2.129 2.129 2.129
CELL_PARAMETERS angstrom
4.257 0.000 0.000
0.000 4.257 0.000
0.000 0.000 4.257
```

---

Quick ranking, most stable first: 2, 1.

---

1.
ZrBe2Cr2 | GGA-PBE | optimized geometry Values from VASP.

Quantum ESPRESSO input file:
```
&SYSTEM
  ibrav = 0, nat = 5, ntyp = 3
/
ATOMIC_SPECIES
Zr 91.22 Zr.upf
Be 9.01 Be.upf
Cr 52.00 Cr.upf
ATOMIC_POSITIONS angstrom
Zr 0.000 0.000 0.000
Be 1.937 0.000 2.194
Be 0.000 1.937 2.194
Cr 0.000 0.000 3.402
Cr 0.000 0.000 5.373
CELL_PARAMETERS angstrom
-1.937 1.937 4.388
1.937 -1.937 4.388
1.937 1.937 -4.388
```

---

2.
ZrBe2Cr2 | GGA-PBE | optimized geometry Values from VASP.

Quantum ESPRESSO input file:
```
&SYSTEM
  ibrav = 0, nat = 10, ntyp = 3
/
ATOMIC_SPECIES
Zr 91.22 Zr.upf
Be 9.01 Be.upf
Cr 52.00 Cr.upf
ATOMIC_POSITIONS angstrom
Zr 0.000 0.000 0.000
Zr 3.172 3.172 0.000
Be 0.716 2.456 0.000
Be 2.456 5.628 0.000
Be 3.888 0.716 0.000
Be 5.628 3.888 0.000
Cr 1.096 4.268 1.536
Cr 2.075 1.096 1.536
Cr 4.268 5.247 1.536
Cr 5.247 2.075 1.536
CELL_PARAMETERS angstrom
6.344 0.000 0.000
0.000 6.344 0.000
0.000 0.000 3.072
```

---

Quick ranking, most stable first: 2, 1.

---

1.
ZrBeCr3 | GGA-PBE | optimized geometry Values from VASP.

Quantum ESPRESSO input file:
```
&SYSTEM
  ibrav = 0, nat = 5, ntyp = 3
/
ATOMIC_SPECIES
Zr 91.22 Zr.upf
Be 9.01 Be.upf
Cr 52.00 Cr.upf
ATOMIC_POSITIONS angstrom
Zr 0.000 0.000 0.000
Be 2.251 2.251 2.251
Cr 0.000 0.000 2.251
Cr 0.000 2.251 0.000
Cr 2.251 0.000 0.000
CELL_PARAMETERS angstrom
4.501 0.000 0.000
0.000 4.501 0.000
0.000 0.000 4.501
```

---

2.
ZrBeCr3 | GGA-PBE | optimized geometry Values from VASP.

Quantum ESPRESSO input file:
```
&SYSTEM
  ibrav = 0, nat = 5, ntyp = 3
/
ATOMIC_SPECIES
Zr 91.22 Zr.upf
Be 9.01 Be.upf
Cr 52.00 Cr.upf
ATOMIC_POSITIONS angstrom
Zr 0.000 0.000 0.000
Be 2.050 2.050 2.050
Cr 0.000 2.050 2.050
Cr 2.050 0.000 2.050
Cr 2.050 2.050 0.000
CELL_PARAMETERS angstrom
4.101 0.000 0.000
0.000 4.101 0.000
0.000 0.000 4.101
```

---

Quick ranking, most stable first: 2, 1.